(1)
{
  "formula": "CuBiSe2N",
  "functional": "PBE-GGA",
  "state": "optimized geometry",
  "formation_energy_uncorrected_ev_per_atom": 1.281,
  "polymorph_energy_mev_per_atom": 705,
  "space_group": "P4/mmm, No. 123",
  "mass_density_kg_m3": 5533,
  "cell": [[5.518, 0.000, 0.000], [0.000, 5.518, 0.000], [0.000, 0.000, 4.381]],
  "species": ["Cu", "Bi", "Se", "Se", "N"],
  "fractional_positions": [[0.000, 0.000, 0.000], [0.500, 0.500, 0.500], [0.000, 0.500, 0.500], [0.500, 0.000, 0.500], [0.500, 0.500, 0.000]]
}

***

(2)
{
  "formula": "NbI",
  "functional": "PBE-GGA",
  "state": "optimized geometry",
  "formation_energy_uncorrected_ev_per_atom": 0.937,
  "space_group": "P6/mmm, No. 191",
  "mass_density_kg_m3": 6950,
  "cell": [[3.378, 0.000, 0.000], [-1.689, 2.926, 0.000], [0.000, 0.000, 5.314]],
  "species": ["Nb", "I"],
  "fractional_positions": [[0.000, 0.000, 0.000], [0.000, 0.000, 0.500]]
}

***

(3)
{
  "formula": "Tl2ZnIn",
  "functional": "PBE-GGA",
  "state": "optimized geometry",
  "space_group": "P2/m, No. 10",
  "final_energy_ha_per_atom": -0.076,
  "mass_density_kg_m3": 9138,
  "cell": [[3.512, 0.000, 0.000], [0.000, 4.677, 0.000], [-1.548, 0.000, 6.517]],
  "species": ["Tl", "Tl", "Zn", "In"],
  "fractional_positions": [[0.081, 0.000, 0.265], [0.919, 0.000, 0.735], [0.500, 0.500, 0.500], [0.500, 0.500, 0.000]]
}

***

(4)
{
  "formula": "Fe2CuCl",
  "functional": "PBE-GGA",
  "state": "optimized geometry",
  "formation_energy_uncorrected_ev_per_atom": 0.221,
  "polymorph_energy_mev_per_atom": 48,
  "space_group": "R3m, No. 160",
  "mass_density_kg_m3": 6051,
  "cell": [[1.482, 0.856, 7.595], [-1.482, 0.856, 7.595], [0.000, -1.712, 7.595]],
  "species": ["Fe", "Fe", "Cu", "Cl"],
  "fractional_positions": [[0.000, 0.000, 0.000], [0.257, 0.257, 0.257], [0.748, 0.748, 0.748], [0.514, 0.514, 0.514]]
}

***

(5)
{
  "formula": "RbAsSI2",
  "functional": "PBE-GGA",
  "state": "optimized geometry",
  "formation_energy_uncorrected_ev_per_atom": -0.479,
  "space_group": "P4/mmm, No. 123",
  "mass_density_kg_m3": 4246,
  "cell": [[6.019, 0.000, 0.000], [0.000, 6.019, 0.000], [0.000, 0.000, 4.817]],
  "species": ["Rb", "As", "S", "I", "I"],
  "fractional_positions": [[0.000, 0.000, 0.000], [0.500, 0.500, 0.500], [0.500, 0.500, 0.000], [0.000, 0.500, 0.500], [0.500, 0.000, 0.500]]
}

***

(6)
{
  "formula": "Rb2UFeS4",
  "functional": "PBE-GGA",
  "state": "optimized geometry",
  "formation_energy_uncorrected_ev_per_atom": -0.895,
  "space_group": "I-4, No. 82",
  "mass_density_kg_m3": 3826,
  "cell": [[-3.652, 3.652, 4.824], [3.652, -3.652, 4.824], [3.652, 3.652, -4.824]],
  "species": ["Rb", "Rb", "U", "Fe", "S", "S", "S", "S"],
  "fractional_positions": [[0.000, 0.000, 0.000], [0.750, 0.250, 0.500], [0.250, 0.750, 0.500], [0.500, 0.500, 0.000], [0.233, 0.615, 0.084], [0.385, 0.469, 0.618], [0.531, 0.149, 0.916], [0.851, 0.767, 0.382]]
}

***

(7)
{
  "formula": "Hf2Sc2Sb2C",
  "functional": "PBE-GGA",
  "state": "optimized geometry",
  "formation_energy_uncorrected_ev_per_atom": -0.720,
  "space_group": "I4/mmm, No. 139",
  "mass_density_kg_m3": 7965,
  "cell": [[-2.208, 2.208, 7.509], [2.208, -2.208, 7.509], [2.208, 2.208, -7.509]],
  "species": ["Hf", "Hf", "Sc", "Sc", "Sb", "Sb", "C"],
  "fractional_positions": [[0.000, 0.500, 0.500], [0.500, 0.000, 0.500], [0.157, 0.157, 0.000], [0.843, 0.843, 0.000], [0.355, 0.355, 0.000], [0.645, 0.645, 0.000], [0.000, 0.000, 0.000]]
}

***

(8)
{
  "formula": "KCuTe2Au",
  "functional": "PBE-GGA",
  "state": "optimized geometry",
  "formation_energy_uncorrected_ev_per_atom": -0.371,
  "space_group": "Cmme, No. 67",
  "mass_density_kg_m3": 5897,
  "cell": [[3.276, -6.104, 0.000], [3.276, 6.104, 0.000], [0.000, 0.000, 7.811]],
  "species": ["K", "K", "Cu", "Cu", "Te", "Te", "Te", "Te", "Au", "Au"],
  "fractional_positions": [[0.250, 0.750, 0.763], [0.750, 0.250, 0.237], [0.250, 0.250, 0.000], [0.750, 0.750, 0.000], [0.102, 0.898, 0.204], [0.398, 0.602, 0.204], [0.602, 0.398, 0.796], [0.898, 0.102, 0.796], [0.000, 0.000, 0.500], [0.500, 0.500, 0.500]]
}